The following is a DFT calculation (PBE) of a relaxed structure of LiInI2.

Cell lengths 7.3685, 7.3685, 7.3685 Å; angles 113.00, 113.00, 102.62 degrees
Last column: nearest neighbours and their distance in Å.
Element x y z (fractional)
Li  0.0000  0.0000  0.0000  4 I 2.79
Li  0.7500  0.2500  0.5000  4 I 2.79
In  0.2500  0.7500  0.5000  4 I 3.46
In  0.5000  0.5000  0.0000  4 I 3.46
I  0.0614  0.6250  0.9364  2 Li 2.79
I  0.3750  0.3114  0.4364  2 Li 2.79
I  0.6886  0.1250  0.0636  2 Li 2.79
I  0.8750  0.9386  0.5636  2 Li 2.79

Energy relative to the lowest polymorph listed for this composition: 37 meV per atom
Formation energy (no corrections): -0.780 eV/atom
Total magnetization: 0.0 μB/f.u.
Volume: 38.09 Å³/atom
DOS(E_F): 0.0 states/eV per cell